Entry 1:
The following is a DFT calculation (PBE) of a geometry-optimized Al4HgAu structure.

Lattice parameters (Å, degrees): 5.433 5.433 5.433 60.00 60.00 60.00
Fractional coordinates of all 6 atoms:
Al  0.125  0.125  0.125
Al  0.125  0.125  0.626
Al  0.125  0.626  0.125
Al  0.626  0.125  0.125
Hg  0.500  0.500  0.500
Au  0.750  0.750  0.750

## Properties
As for the space-group type: F-43m, No. 216. The calculation puts the final energy at -2.889 eV/atom. Its density of states at the Fermi level is 0.595 states/eV/atom. The formation energy from the elements comes out at 1.22 eV/f.u. The total magnetic moment is 0.0 μB per formula unit.

Entry 2:
The following is a DFT calculation (PBE) of a geometry-optimized BeAlSb2 structure.

Lattice parameters (Å, degrees): 6.760 3.893 6.797 90.00 109.71 90.00
Fractional coordinates of all 8 atoms:
Be  0.000  0.000  0.000
Be  0.500  0.500  0.000
Al  0.000  0.500  0.500
Al  0.500  0.000  0.500
Sb  0.237  0.500  0.222
Sb  0.263  0.000  0.778
Sb  0.737  0.000  0.222
Sb  0.763  0.500  0.778

## Properties
As for the space-group type: C2/m, No. 12. Its energy relative to the lowest polymorph listed for this composition is 150 meV/atom. The calculation puts the final energy at -3.697 eV/atom. Its density of states at the Fermi level is 0.426 states/eV/atom. Its uncorrected formation energy is 0.232 eV per atom. The total magnetic moment is 0.0 μB per formula unit.

Entry 3:
The following is a DFT calculation (PBE) of a geometry-optimized Pr2Pa2Te2Se5 structure.

Lattice parameters (Å, degrees): 13.567 13.567 13.567 156.45 156.45 33.54
Fractional coordinates of all 11 atoms:
Pr  0.161  0.161  0.000
Pr  0.839  0.839  0.000
Pa  0.395  0.395  0.000
Pa  0.605  0.605  0.000
Te  0.281  0.281  0.000
Te  0.719  0.719  0.000
Se  0.110  0.610  0.500
Se  0.390  0.890  0.500
Se  0.500  0.500  0.000
Se  0.610  0.110  0.500
Se  0.890  0.390  0.500

## Properties
As for the space-group type: I4/mmm, No. 139. The calculation puts the final energy at -6.071 eV/atom. Its density of states at the Fermi level is 0.537 states/eV/atom. Its uncorrected formation energy is -1.320 eV per atom. The total magnetic moment is 0.8 μB per formula unit.

Entry 4:
The following is a DFT calculation (PBE) of a geometry-optimized PrNd2InC structure.

Lattice parameters (Å, degrees): 5.134 5.134 5.173 90.00 90.00 90.00
Fractional coordinates of all 5 atoms:
Pr  0.000  0.000  0.000
Nd  0.000  0.500  0.500
Nd  0.500  0.000  0.500
In  0.500  0.500  0.000
C  0.000  0.000  0.500

## Properties
As for the space-group type: P4/mmm, No. 123. The calculation puts the final energy at -5.565 eV/atom. Its density of states at the Fermi level is 0.409 states/eV/atom. The formation energy from the elements comes out at -1.55 eV/f.u. The total magnetic moment is 0.0 μB per formula unit.

Entry 5:
The following is a DFT calculation (PBE) of a geometry-optimized MgZnRuPt structure.

Lattice parameters (Å, degrees): 6.175 6.175 6.175 90.00 90.00 90.00
Fractional coordinates of all 16 atoms:
Mg  0.000  0.000  0.000
Mg  0.000  0.500  0.500
Mg  0.500  0.000  0.500
Mg  0.500  0.500  0.000
Zn  0.000  0.000  0.500
Zn  0.000  0.500  0.000
Zn  0.500  0.000  0.000
Zn  0.500  0.500  0.500
Ru  0.250  0.250  0.250
Ru  0.250  0.750  0.750
Ru  0.750  0.250  0.750
Ru  0.750  0.750  0.250
Pt  0.250  0.250  0.750
Pt  0.250  0.750  0.250
Pt  0.750  0.250  0.250
Pt  0.750  0.750  0.750

## Properties
As for the space-group type: F-43m, No. 216. The calculation puts the final energy at -4.833 eV/atom. Its density of states at the Fermi level is 0.971 states/eV/atom. The formation energy from the elements comes out at -1.15 eV/f.u. The total magnetic moment is 0.0 μB per formula unit.

Entry 6:
The following is a DFT calculation (PBE) of a geometry-optimized LiBe2Tc structure.

Lattice parameters (Å, degrees): 3.214 3.984 7.376 90.00 90.00 90.00
Fractional coordinates of all 8 atoms:
Li  0.000  0.000  0.000
Li  0.500  0.500  0.000
Be  0.000  0.500  0.258
Be  0.000  0.500  0.742
Be  0.500  0.000  0.258
Be  0.500  0.000  0.742
Tc  0.000  0.000  0.500
Tc  0.500  0.500  0.500

## Properties
As for the space-group type: Cmmm, No. 65. Its energy relative to the lowest polymorph listed for this composition is 188 meV/atom. The calculation puts the final energy at -4.796 eV/atom. Its density of states at the Fermi level is 0.287 states/eV/atom. The formation energy from the elements comes out at 0.55 eV/f.u. The total magnetic moment is 0.0 μB per formula unit.

Entry 7:
The following is a DFT calculation (PBE) of a geometry-optimized NaHfAl2V structure.

Lattice parameters (Å, degrees): 5.347 5.347 4.692 90.00 90.00 90.00
Fractional coordinates of all 5 atoms:
Na  0.000  0.000  0.000
Hf  0.500  0.500  0.500
Al  0.000  0.500  0.500
Al  0.500  0.000  0.500
V  0.500  0.500  0.000

## Properties
As for the space-group type: P4/mmm, No. 123. The calculation puts the final energy at -4.610 eV/atom. Its density of states at the Fermi level is 1.008 states/eV/atom. The formation energy from the elements comes out at 4.83 eV/f.u. The total magnetic moment is 1.2 μB per formula unit.

Entry 8:
The following is a DFT calculation (PBE) of a geometry-optimized BaNiTe structure.

Lattice parameters (Å, degrees): 5.043 5.043 6.929 90.00 90.00 90.00
Fractional coordinates of all 6 atoms:
Ba  0.250  0.250  0.158
Ba  0.750  0.750  0.842
Ni  0.250  0.250  0.631
Ni  0.750  0.750  0.369
Te  0.250  0.750  0.500
Te  0.750  0.250  0.500

## Properties
As for the space-group type: P4/nmm, No. 129. The calculation puts the final energy at -3.989 eV/atom. Its density of states at the Fermi level is 0.672 states/eV/atom. Its uncorrected formation energy is -0.373 eV per atom. The total magnetic moment is 0.0 μB per formula unit.